1.
Density functional theory data (GGA-PBE) for a geometry-optimized BeCd2Sn structure.

Properties
- energy (eV per atom) = -1.9193
- symmetry = F-43m, No. 216

The structure in POSCAR format:
```
BeCd2Sn
1.0
0.0000 3.4694 3.4694
3.4694 0.0000 3.4694
3.4694 3.4694 0.0000
Be Cd Sn
1 2 1
direct
0.0000 0.0000 0.0000 Be
0.2500 0.2500 0.2500 Cd
0.5000 0.5000 0.5000 Cd
0.7500 0.7500 0.7500 Sn
```

=====

2.
Density functional theory data (GGA-PBE) for a geometry-optimized Tb2PtAu structure.

Properties
- energy (eV per atom) = -5.7281
- total magnetization (μB per formula unit) = 0.00
- symmetry = P2_1/m, No. 11

The structure in POSCAR format:
```
Tb2PtAu
1.0
5.6963 0.0000 0.0000
0.0000 4.5891 0.0000
-2.5782 0.0000 7.1096
Tb Pt Au
4 2 2
direct
0.2171 0.2500 0.4348 Tb
0.2323 0.2500 0.9266 Tb
0.7677 0.7500 0.0734 Tb
0.7829 0.7500 0.5652 Tb
0.3259 0.7500 0.7066 Pt
0.6741 0.2500 0.2934 Pt
0.3196 0.7500 0.2069 Au
0.6804 0.2500 0.7931 Au
```

=====

Number 2 is which compound? Tb2PtAu